DFT (PBE) results for crystalline La6HgRu2 at its relaxed geometry.

Values from the calculation:
Symmetry ... No. 12
ΔE_f ... -0.32 eV per atom
D(E_F) ... 6.03 states/eV/f.u.
Excess energy over the best structure of this formula in the dataset ... 0 meV/atom
Calculated total energy ... -51.27 eV per formula unit

Unit cell a=5.867 b=5.867 c=9.273 alpha=99.04 beta=99.04 gamma=55.20
Fractional positions:
1 La 0.041 0.041 0.350
2 La 0.295 0.295 0.661
3 La 0.343 0.343 0.122
4 La 0.657 0.657 0.878
5 La 0.705 0.705 0.339
6 La 0.959 0.959 0.650
7 Hg 0.000 0.000 0.000
8 Ru 0.383 0.383 0.396
9 Ru 0.617 0.617 0.604